# 1
Below is an optimized crystal structure of Ca4PdPt, with properties calculated at the PBE level.

The calculated formation energy is -0.6114 eV per atom. The total DFT energy (no corrections) is -3.82 eV/atom.

It has space group C2/c (No. 15), with a = 8.429 Å, b = 12.458 Å, c = 6.730 Å, α = 90.00°, β = 106.24° and γ = 90.00°. The distinct sites, in fractional coordinates, are Ca at (0.097, 0.181, 0.035), Ca at (0.186, 0.435, 0.450), Pd at (0.000, 0.000, 0.250) and Pt at (0.000, 0.369, 0.750).

# 2
Below is an optimized crystal structure of Ce2Si3Rh, with properties calculated at the PBE level.

The calculation puts the formation energy from raw total energies at -0.8943 eV per atom. The total DFT energy (no corrections) is -6.81 eV/atom.

It has space group P6/mmm (No. 191), with a = 8.2162 Å, b = 8.2162 Å, c = 4.1029 Å, α = 90.00°, β = 90.00° and γ = 120.00°. The distinct sites, in fractional coordinates, are Ce at (0.0000, 0.0000, 0.0000), Ce at (0.0000, 0.5000, 0.0000), Si at (0.1653, 0.3306, 0.5000) and Rh at (0.3333, 0.6667, 0.5000).

# 3
Below is an optimized crystal structure of LiTaCu2, with properties calculated at the PBE level.

The calculated formation energy is 0.1782 eV per atom. The total DFT energy (no corrections) is -5.31 eV/atom.

It has space group R-3m (No. 166, hexagonal axes), with a = 2.7739 Å, b = 2.7739 Å, c = 26.5639 Å, α = 90.00°, β = 90.00° and γ = 120.00°. The distinct sites, in fractional coordinates, are Li at (0.0000, 0.0000, 0.0000), Ta at (0.0000, 0.0000, 0.5000) and Cu at (0.0000, 0.0000, 0.2522).

# 4
Below is an optimized crystal structure of Ta2TiAl2, with properties calculated at the PBE level.

The calculated formation energy is -0.2013 eV per atom. The total DFT energy (no corrections) is -8.02 eV/atom.

It has space group P4/mbm (No. 127), with a = 6.978 Å, b = 6.978 Å, c = 3.486 Å, α = 90.00°, β = 90.00° and γ = 90.00°. The distinct sites, in fractional coordinates, are Ta at (0.173, 0.327, 0.000), Ti at (0.000, 0.000, 0.500) and Al at (0.127, 0.627, 0.500).

# 5
Below is an optimized crystal structure of Pr2CdRh3, with properties calculated at the PBE level.

The calculated formation energy is -0.2703 eV per atom. The total DFT energy (no corrections) is -5.69 eV/atom.

It has space group Immm (No. 71), with a = 4.757 Å, b = 5.557 Å, c = 10.017 Å, α = 90.00°, β = 90.00° and γ = 90.00°. The distinct sites, in fractional coordinates, are Pr at (0.000, 0.000, 0.180), Cd at (0.000, 0.000, 0.500), Rh at (0.000, 0.500, 0.138) and Rh at (0.000, 0.500, 0.500).

# 6
Below is an optimized crystal structure of CoReSe2, with properties calculated at the PBE level.

The calculation puts the formation energy from raw total energies at 0.7761 eV per atom. The total DFT energy (no corrections) is -5.85 eV/atom.

It has space group I-4m2 (No. 119), with a = 3.719 Å, b = 3.719 Å, c = 8.758 Å, α = 90.00°, β = 90.00° and γ = 90.00°. The distinct sites, in fractional coordinates, are Co at (0.000, 0.000, 0.000), Re at (0.000, 0.500, 0.750), Se at (0.000, 0.000, 0.500) and Se at (0.000, 0.500, 0.250).

# 7
Below is an optimized crystal structure of CaNbAu, with properties calculated at the PBE level.

The calculated formation energy is -0.2036 eV per atom. The total DFT energy (no corrections) is -5.32 eV/atom.

It has space group P2_1/m (No. 11), with a = 3.405 Å, b = 4.628 Å, c = 8.575 Å, α = 90.00°, β = 101.32° and γ = 90.00°. The distinct sites, in fractional coordinates, are Ca at (0.076, 0.250, 0.146), Nb at (0.243, 0.750, 0.486) and Au at (0.388, 0.250, 0.779).